(one)
Density functional theory data (GGA-PBE) for a relaxed structure of ZrReB3.

The calculation puts the volume at 66.38 Å³/cell. The crystal system is cubic. The density of states at the Fermi level comes out at 0.48 states/eV/atom.

Lattice parameters (Å, degrees): 4.0490 4.0490 4.0490 90.00 90.00 90.00
Last column: nearest neighbours and their distance in Å.
Space group Pm-3m (No. 221)
Asymmetric unit:
Zr: 0.0000 0.0000 0.0000  12 B 2.86
Re: 0.5000 0.5000 0.5000  6 B 2.02
B: 0.0000 0.5000 0.5000  2 Re 2.02

---

(two)
Density functional theory data (GGA-PBE) for a relaxed structure of ZrReB3.

The calculation puts the volume at 69.22 Å³/cell. The crystal system is cubic. The density of states at the Fermi level comes out at 0.75 states/eV/atom.

Lattice parameters (Å, degrees): 4.1059 4.1059 4.1059 90.00 90.00 90.00
Last column: nearest neighbours and their distance in Å.
Space group Pm-3m (No. 221)
Asymmetric unit:
Zr: 0.0000 0.0000 0.0000  6 B 2.05
Re: 0.5000 0.5000 0.5000  12 B 2.90
B: 0.0000 0.0000 0.5000  2 Zr 2.05

---

Which structure is most stable? (one), by 176.7 kJ/mol of atoms over the runner-up.